Compound: Mn2ReOs
Source: Alexandria
Functional: PBE
Structure: relaxed

Summary:
* crystal system: tetragonal
* formation energy from the elements: 0.00 eV per atom
* calculated volume: 53 Å³ per cell

abc: 4.6000 4.6000 4.6000
angles: 131.64 131.64 70.80
Atoms (fractional coordinates):
Mn  0.0000  0.0000  0.0000
Mn  0.7500  0.2500  0.5000
Re  0.5000  0.5000  0.0000
Os  0.2500  0.7500  0.5000

***

Compound: Cs2RbHgAu
Source: Alexandria
Functional: PBE
Structure: relaxed

Summary:
* crystal system: tetragonal
* formation energy from the elements: -0.13 eV per atom
* calculated volume: 323 Å³ per cell

abc: 6.9325 6.9325 6.7156
angles: 90.00 90.00 90.00
Atoms (fractional coordinates):
Cs  0.0000  0.5000  0.0000
Cs  0.5000  0.0000  0.0000
Rb  0.0000  0.0000  0.5000
Hg  0.5000  0.5000  0.5000
Au  0.0000  0.0000  0.0000

***

Compound: Tb2BeSiRh6
Source: Alexandria
Functional: PBE
Structure: relaxed

Summary:
* crystal system: orthorhombic
* formation energy from raw total energies: -0.652 eV/atom
* calculated volume: 166 Å³ per cell

abc: 6.1634 6.1634 6.1634
angles: 120.09 119.88 90.03
Atoms (fractional coordinates):
Tb  0.2501  0.2501  0.0000
Tb  0.7499  0.7499  0.0000
Be  0.5000  0.0000  0.5000
Si  0.0000  0.5000  0.5000
Rh  0.2574  0.2425  0.4999
Rh  0.2574  0.7575  0.0149
Rh  0.2575  0.7575  0.5000
Rh  0.7425  0.2425  0.5000
Rh  0.7426  0.2425  0.9851
Rh  0.7426  0.7575  0.5001

***

Compound: NdSm5ErTm2
Source: Alexandria
Functional: PBE
Structure: relaxed

Summary:
* crystal system: orthorhombic
* formation energy from the elements: 0.15 eV per atom
* calculated volume: 606 Å³ per cell

abc: 10.4682 10.4682 10.7056
angles: 90.00 90.00 148.88
Atoms (fractional coordinates):
Nd  0.2014  0.7986  0.5000
Nd  0.7986  0.2014  0.0000
Sm  0.0166  0.9834  0.5139
Sm  0.2819  0.7181  0.7974
Sm  0.2980  0.7020  0.1950
Sm  0.3923  0.6077  0.5153
Sm  0.4793  0.5207  0.2317
Sm  0.5207  0.4793  0.7317
Sm  0.6077  0.3923  0.0153
Sm  0.7020  0.2980  0.6950
Sm  0.7181  0.2819  0.2974
Sm  0.9834  0.0166  0.0139
Er  0.4117  0.5883  0.9479
Er  0.5883  0.4117  0.4479
Tm  0.1091  0.8909  0.2298
Tm  0.1155  0.8845  0.8072
Tm  0.8845  0.1155  0.3072
Tm  0.8909  0.1091  0.7298